# 1
# LaY2P3

A relaxed structure of LaY2P3 (PBE, the Alexandria database).

The calculation puts the density of states at the Fermi level at 1.04 states/eV per cell. The energy comes out at -87.25 eV per cell. The value obtained for the spin magnetization is 0.00 μB/f.u. Its formation enthalpy at 0 K is -1.5899 eV per atom. For the theoretical density, the calculation gives 4.64 Mg/m³.

Lattice parameters (Å, degrees): 4.1018 5.8159 12.3033 90.00 90.00 90.00
With the nearest neighbours (Å) after each atom.
Space group Immm (No. 71)
One atom of each set of equivalent atoms:
La (0.0000, 0.0000, 0.0000) (multiplicity 2)  6 P 2.91-2.96
Y (0.0000, 0.0000, 0.3339) (multiplicity 4)  6 P 2.84-2.91
P (0.0000, 0.5000, 0.0000) (multiplicity 2)  4 Y 2.90, 2 La 2.91
P (0.0000, 0.5000, 0.3262) (multiplicity 4)  4 Y 2.84-2.91, 2 La 2.96

***

# 2
# La2YP

A relaxed structure of La2YP (PBE, the Alexandria database).

The calculation puts the density of states at the Fermi level at 22.67 states/eV per cell. The energy comes out at -88.78 eV per cell. The value obtained for the spin magnetization is 0.89 μB/f.u. Its formation enthalpy at 0 K is -0.1164 eV per atom. For the theoretical density, the calculation gives 6.30 Mg/m³. The excess energy over the best structure of this formula in the dataset comes out at 504 meV/atom.

Lattice parameters (Å, degrees): 7.4863 7.4863 7.4863 90.00 90.00 90.00
With the nearest neighbours (Å) after each atom.
Space group F-43m (No. 216)
One atom of each set of equivalent atoms:
La (0.0000, 0.0000, 0.0000) (multiplicity 4)  4 Y 3.24, 4 La 3.24
La (0.2500, 0.2500, 0.2500) (multiplicity 4)  4 La 3.24, 4 P 3.24
Y (0.2500, 0.2500, 0.7500) (multiplicity 4)  4 La 3.24, 4 P 3.24
P (0.0000, 0.0000, 0.5000) (multiplicity 4)  4 La 3.24, 4 Y 3.24

***

# 3
# LaYP2

A relaxed structure of LaYP2 (PBE, the Alexandria database).

The calculation puts the density of states at the Fermi level at 0.00 states/eV per cell. The energy comes out at -106.39 eV per cell. The value obtained for the spin magnetization is 0.00 μB/f.u. Its formation enthalpy at 0 K is -1.0969 eV per atom. For the theoretical density, the calculation gives 3.58 Mg/m³. The excess energy over the best structure of this formula in the dataset comes out at 495 meV/atom.

Lattice parameters (Å, degrees): 6.4885 6.4885 12.7853 90.00 90.00 90.00
With the nearest neighbours (Å) after each atom.
Space group I-42d (No. 122)
One atom of each set of equivalent atoms:
La (0.0000, 0.0000, 0.0000) (multiplicity 4)  4 P 2.86
Y (0.0000, 0.0000, 0.5000) (multiplicity 4)  4 P 2.73
P (0.2321, 0.2500, 0.6250) (multiplicity 8)  2 Y 2.73, 2 La 2.86

***

# 4
# La2YP

A relaxed structure of La2YP (PBE, the Alexandria database).

The calculation puts the density of states at the Fermi level at 8.60 states/eV per cell. The energy comes out at -48.27 eV per cell. The value obtained for the spin magnetization is 0.00 μB/f.u. Its formation enthalpy at 0 K is -0.6010 eV per atom. For the theoretical density, the calculation gives 5.49 Mg/m³. The excess energy over the best structure of this formula in the dataset comes out at 20 meV/atom.

Lattice parameters (Å, degrees): 3.7569 5.0263 12.7456 90.00 90.00 90.00
With the nearest neighbours (Å) after each atom.
Space group Imm2 (No. 44)
One atom of each set of equivalent atoms:
La (0.0000, 0.0000, 0.0000) (multiplicity 2)  2 P 3.00, 2 La 3.32
La (0.0000, 0.5000, 0.1699) (multiplicity 2)  4 P 3.14, 2 La 3.32, 2 Y 3.41
Y (0.0000, 0.0000, 0.3505) (multiplicity 2)  2 P 2.83
P (0.0000, 0.5000, 0.6839) (multiplicity 2)  2 Y 2.83, 6 La 3.00-3.14